NdThBi | PBE-GGA | optimized geometry

Output
The space group is P4/nmm (129). As for the formation energy: -0.368 eV/atom.

Cell lengths 4.2112, 4.2112, 10.8731 Å; angles 90.00, 90.00, 90.00 degrees
Last column: nearest neighbours and their distance in Å.
Element x y z (fractional)
Nd 0.0000 0.5000 0.5968  1 Th 3.34, 5 Bi 3.38-3.71, 4 Nd 3.65
Nd 0.5000 0.0000 0.4032  1 Th 3.34, 5 Bi 3.38-3.71, 4 Nd 3.65
Bi 0.5000 0.0000 0.7440  5 Nd 3.38-3.71, 4 Th 3.45
Bi 0.0000 0.5000 0.2560  5 Nd 3.38-3.71, 4 Th 3.45
Th 0.0000 0.5000 0.9037  1 Nd 3.34, 4 Bi 3.45, 4 Th 3.64
Th 0.5000 0.0000 0.0963  1 Nd 3.34, 4 Bi 3.45, 4 Th 3.64